5
Lattice="4.926 0.000 0.000 0.000 4.926 0.000 0.000 0.000 4.926" Properties=species:S:1:pos:R:3 comment="GGA-PBE NaTa3Pd, relaxed" crystal_system=cubic ef_ev_per_atom=1.516 polymorph_energy_ev_per_atom=0.000 pbc="T T T"
Na 0.000 0.000 0.000
Ta 0.000 2.463 2.463
Ta 2.463 0.000 2.463
Ta 2.463 2.463 0.000
Pd 2.463 2.463 2.463

=====

5
Lattice="5.805 0.000 0.000 0.000 5.805 0.000 0.000 0.000 5.805" Properties=species:S:1:pos:R:3 comment="GGA-PBE Na3TaPd, relaxed" crystal_system=cubic ef_ev_per_atom=1.767 polymorph_energy_ev_per_atom=0.365 pbc="T T T"
Na 0.000 0.000 2.902
Na 0.000 2.902 0.000
Na 2.902 0.000 0.000
Ta 0.000 0.000 0.000
Pd 2.902 2.902 2.902

=====

8
Lattice="-4.161 4.161 2.615 4.161 -4.161 2.615 4.161 4.161 -2.615" Properties=species:S:1:pos:R:3 comment="GGA-PBE Na2TaPd, relaxed" crystal_system=tetragonal ef_ev_per_atom=1.006 polymorph_energy_ev_per_atom=0.000 pbc="T T T"
Na 6.242 1.745 -0.654
Na 1.745 2.081 0.654
Na -2.081 2.416 1.961
Na 2.416 2.081 3.269
Ta 4.161 0.000 1.308
Ta 0.000 0.000 2.615
Pd 0.000 0.000 0.000
Pd 0.000 4.161 1.308

=====

8
Lattice="-1.927 1.927 10.352 1.927 -1.927 10.352 1.927 1.927 -10.352" Properties=species:S:1:pos:R:3 comment="GGA-PBE NaTa2Pd, relaxed" crystal_system=tetragonal ef_ev_per_atom=0.795 polymorph_energy_ev_per_atom=0.021 pbc="T T T"
Na 0.000 0.000 0.000
Na 0.000 1.927 5.176
Ta 0.963 -0.922 7.764
Ta 1.005 0.963 2.588
Ta 0.963 2.848 -2.588
Ta 0.922 0.963 12.941
Pd 1.927 0.000 5.176
Pd 0.000 0.000 10.352

=====

4
Lattice="0.000 3.277 3.277 3.277 0.000 3.277 3.277 3.277 0.000" Properties=species:S:1:pos:R:3 comment="GGA-PBE NaTa2Pd, relaxed" crystal_system=cubic ef_ev_per_atom=0.774 polymorph_energy_ev_per_atom=0.000 pbc="T T T"
Na 0.000 0.000 0.000
Ta 1.638 1.638 1.638
Ta 4.915 4.915 4.915
Pd 3.277 3.277 3.277

=====

8
Lattice="4.008 0.000 0.000 0.000 4.008 0.000 0.000 0.000 7.962" Properties=species:S:1:pos:R:3 comment="GGA-PBE NaTaPd6, relaxed" crystal_system=tetragonal ef_ev_per_atom=-0.313 pbc="T T T"
Na 0.000 0.000 0.000
Ta 0.000 0.000 3.981
Pd 0.000 2.004 2.099
Pd 0.000 2.004 5.863
Pd 2.004 0.000 2.099
Pd 2.004 0.000 5.863
Pd 2.004 2.004 0.000
Pd 2.004 2.004 3.981

=====

5
Lattice="5.144 0.000 0.000 0.000 5.144 0.000 0.000 0.000 5.144" Properties=species:S:1:pos:R:3 comment="GGA-PBE Na3TaPd, relaxed" crystal_system=cubic ef_ev_per_atom=1.402 polymorph_energy_ev_per_atom=0.000 pbc="T T T"
Na 0.000 0.000 2.572
Na 0.000 2.572 0.000
Na 2.572 0.000 0.000
Ta 2.572 2.572 2.572
Pd 0.000 0.000 0.000

=====

12
Lattice="3.573 -6.196 0.000 3.573 6.196 0.000 -2.397 0.000 7.425" Properties=species:S:1:pos:R:3 comment="GGA-PBE Na3TaTe6Pd2, relaxed" raw_formation_energy_ev_per_fu=-5.2 crystal_system=monoclinic pbc="T T T"
Na 0.000 0.000 0.000
Na 3.573 2.085 0.000
Na 3.573 -2.085 0.000
Ta 2.375 0.000 3.713
Te 1.181 2.066 2.229
Te -0.004 0.000 5.206
Te 1.181 -2.066 2.229
Te 3.568 2.066 5.196
Te 4.754 0.000 2.219
Te 3.568 -2.066 5.196
Pd 2.375 4.134 3.713
Pd 2.375 -4.134 3.713

=====

12
Lattice="8.337 0.000 0.000 0.000 3.897 0.000 -3.747 0.000 9.683" Properties=species:S:1:pos:R:3 comment="GGA-PBE NaTaTe3Pd, relaxed" raw_formation_energy_ev_per_fu=-3.1 crystal_system=monoclinic pbc="T T T"
Na 1.149 0.974 2.003
Na 3.442 2.923 7.680
Ta -0.770 2.923 6.624
Ta 5.360 0.974 3.059
Te -0.912 2.923 3.670
Te -1.659 2.923 9.200
Te 1.190 0.974 6.132
Te 3.400 2.923 3.551
Te 6.249 0.974 0.483
Te 5.503 0.974 6.013
Pd 0.167 0.974 8.587
Pd 4.423 2.923 1.096

=====

11
Lattice="3.438 -5.832 0.000 3.438 5.832 0.000 -1.836 0.000 7.900" Properties=species:S:1:pos:R:3 comment="GGA-PBE Na2Ta2Te6Pd, relaxed" raw_formation_energy_ev_per_fu=-4.4 crystal_system=monoclinic pbc="T T T"
Na 3.438 3.693 0.000
Na 3.438 -3.693 0.000
Ta 2.520 1.466 3.950
Ta 2.520 -1.466 3.950
Te 0.133 2.058 5.403
Te 1.736 0.000 1.792
Te 0.133 -2.058 5.403
Te 4.908 2.058 2.497
Te 3.305 0.000 6.108
Te 4.908 -2.058 2.497
Pd -0.918 0.000 3.950

=====

5
Lattice="4.462 0.000 0.000 0.000 4.462 0.000 0.000 0.000 4.531" Properties=species:S:1:pos:R:3 comment="GGA-PBE NaTaZn2Pd, relaxed" crystal_system=tetragonal ef_ev_per_atom=1.171 pbc="T T T"
Na 0.000 0.000 0.000
Ta 2.231 2.231 2.265
Zn 0.000 2.231 0.000
Zn 2.231 0.000 0.000
Pd 0.000 0.000 2.265

=====

6
Lattice="2.898 -2.850 0.000 2.898 2.850 0.000 -2.886 0.000 9.020" Properties=species:S:1:pos:R:3 comment="GGA-PBE NaTbPd, relaxed" crystal_system=monoclinic ef_ev_per_atom=-0.405 pbc="T T T"
Na 1.414 0.000 0.000
Na 1.497 0.000 9.019
Tb 0.009 0.000 5.693
Tb 2.901 0.000 3.327
Pd 0.004 0.000 2.757
Pd 2.906 0.000 6.262